Computed, not measured: crystalline Pm3Nd8In2 at its relaxed geometry at the PBE level of DFT.

Cell: 6.5813 6.5813 36.2366 Å, 90.00 90.00 120.00°
Space group R-3m (No. 166, hexagonal axes)
One atom of each set of equivalent atoms:
Pm (0.0000, 0.0000, 0.0000)
Pm (0.0000, 0.0000, 0.1905)
Nd (0.0000, 0.0000, 0.2845)
Nd (0.0053, 0.5026, 0.2217)
In (0.0000, 0.0000, 0.3698)

Properties
DFT total energy ... -4.345 eV/atom
DFT formation energy ... 1.39 eV per formula unit